Entry 1:
Below is crystalline Mg2CdAg5 at its relaxed geometry, with properties calculated at the PBE-GGA level.

Symmetry: No. 2
E (eV/atom): -2.45
DFT formation energy (eV per atom): -0.1582
M_tot (μB/f.u.): 0.00

The structure in CIF format:
```
data_Mg2CdAg5
_cell_length_a 4.263
_cell_length_b 5.050
_cell_length_c 7.853
_cell_angle_alpha 79.33
_cell_angle_beta 74.39
_cell_angle_gamma 65.24
_symmetry_space_group_name_H-M 'P 1'
_symmetry_Int_Tables_number 1
loop_
_symmetry_equiv_pos_as_xyz
'x,y,z'
loop_
_atom_site_label
_atom_site_type_symbol
_atom_site_fract_x
_atom_site_fract_y
_atom_site_fract_z
Mg1 Mg 0.003 0.236 0.259
Mg2 Mg 0.997 0.764 0.741
Cd1 Cd 0.500 0.500 0.000
Ag1 Ag 0.248 0.130 0.874
Ag2 Ag 0.252 0.620 0.376
Ag3 Ag 0.500 0.000 0.500
Ag4 Ag 0.748 0.380 0.624
Ag5 Ag 0.752 0.870 0.126
```

---

Entry 2:
Below is crystalline SiBr2Cl at its relaxed geometry, with properties calculated at the PBE-GGA level.

Symmetry: No. 35
E (eV/atom): -2.57
M_tot (μB/f.u.): 0.18

The structure in CIF format:
```
data_SiBr2Cl
_cell_length_a 3.321
_cell_length_b 3.321
_cell_length_c 11.055
_cell_angle_alpha 90.00
_cell_angle_beta 90.00
_cell_angle_gamma 99.46
_symmetry_space_group_name_H-M 'P 1'
_symmetry_Int_Tables_number 1
loop_
_symmetry_equiv_pos_as_xyz
'x,y,z'
loop_
_atom_site_label
_atom_site_type_symbol
_atom_site_fract_x
_atom_site_fract_y
_atom_site_fract_z
Si1 Si 0.000 0.000 0.000
Br1 Br 0.000 0.000 0.497
Br2 Br 0.500 0.500 0.844
Cl1 Cl 0.500 0.500 0.141
```

---

Entry 3:
Below is crystalline YCu2Ir at its relaxed geometry, with properties calculated at the PBE-GGA level.

Symmetry: No. 12
E (eV/atom): -5.84
DFT formation energy (eV per atom): 0.0368
M_tot (μB/f.u.): 0.00

The structure in CIF format:
```
data_YCu2Ir
_cell_length_a 5.407
_cell_length_b 5.407
_cell_length_c 3.142
_cell_angle_alpha 104.81
_cell_angle_beta 104.81
_cell_angle_gamma 120.20
_symmetry_space_group_name_H-M 'P 1'
_symmetry_Int_Tables_number 1
loop_
_symmetry_equiv_pos_as_xyz
'x,y,z'
loop_
_atom_site_label
_atom_site_type_symbol
_atom_site_fract_x
_atom_site_fract_y
_atom_site_fract_z
Y1 Y 0.000 0.000 0.000
Cu1 Cu 0.000 0.500 0.500
Cu2 Cu 0.500 0.000 0.500
Ir1 Ir 0.500 0.500 0.000
```

---

Q: Among the records above, which one has the highest E?
A: Mg2CdAg5

---

Q: Which of these has the highest M_tot?
A: SiBr2Cl